Record 1
# Ho3Th3Sc2 PBE optimized geometry
data_Ho3Th3Sc2
_cell_length_a 4.961
_cell_length_b 4.975
_cell_length_c 19.345
_cell_angle_alpha 90.00
_cell_angle_beta 90.00
_cell_angle_gamma 90.00
_symmetry_space_group_name_H-M 'I m m m'
_symmetry_Int_Tables_number 71
_symmetry_space_group_name_Hall '-I 2 2'
loop_
_atom_site_label
_atom_site_fract_x
_atom_site_fract_y
_atom_site_fract_z
Ho1 0.000 0.000 0.000
Ho2 0.000 0.500 0.130
Th1 0.000 0.000 0.500
Th2 0.000 0.500 0.371
Sc1 0.000 0.000 0.250
# Fermi-level density of states in states/eV/cell: 23.01

---

Record 2
# Ho3Th2Sc PBE optimized geometry
data_Ho3Th2Sc
_cell_length_a 23.114
_cell_length_b 3.420
_cell_length_c 9.906
_cell_angle_alpha 90.00
_cell_angle_beta 108.23
_cell_angle_gamma 90.00
_symmetry_space_group_name_H-M 'C 1 2/m 1'
_symmetry_Int_Tables_number 12
loop_
_symmetry_equiv_pos_as_xyz
'x,y,z'
'-x,-y,-z'
'-x,y,-z'
'x,-y,z'
'x+1/2,y+1/2,z'
'-x+1/2,-y+1/2,-z'
'-x+1/2,y+1/2,-z'
'x+1/2,-y+1/2,z'
loop_
_atom_site_label
_atom_site_fract_x
_atom_site_fract_y
_atom_site_fract_z
Ho1 0.059 0.000 0.445
Ho2 0.069 0.500 0.780
Ho3 0.197 0.000 0.720
Th1 0.074 0.500 0.131
Th2 0.190 0.000 0.374
Sc1 0.189 0.000 0.039
# Fermi-level density of states in states/eV/cell: 38.83

---

Record 3
# Ho2Th3Sc PBE optimized geometry
data_Ho2Th3Sc
_cell_length_a 8.420
_cell_length_b 3.590
_cell_length_c 12.230
_cell_angle_alpha 90.00
_cell_angle_beta 90.53
_cell_angle_gamma 90.00
_symmetry_space_group_name_H-M 'P 1 21/m 1'
_symmetry_Int_Tables_number 11
loop_
_symmetry_equiv_pos_as_xyz
'x,y,z'
'-x,-y,-z'
'-x,y+1/2,-z'
'x,-y+1/2,z'
loop_
_atom_site_label
_atom_site_fract_x
_atom_site_fract_y
_atom_site_fract_z
Ho1 0.086 0.250 0.390
Ho2 0.347 0.750 0.950
Th1 0.089 0.250 0.107
Th2 0.356 0.750 0.565
Th3 0.394 0.750 0.254
Sc1 0.182 0.250 0.754
# Fermi-level density of states in states/eV/cell: 19.43

---

Record 4
# Ho7ThSc4 PBE optimized geometry
data_Ho7ThSc4
_cell_length_a 15.322
_cell_length_b 5.779
_cell_length_c 9.357
_cell_angle_alpha 90.00
_cell_angle_beta 120.43
_cell_angle_gamma 90.00
_symmetry_space_group_name_H-M 'C 1 2/m 1'
_symmetry_Int_Tables_number 12
loop_
_symmetry_equiv_pos_as_xyz
'x,y,z'
'-x,-y,-z'
'-x,y,-z'
'x,-y,z'
'x+1/2,y+1/2,z'
'-x+1/2,-y+1/2,-z'
'-x+1/2,y+1/2,-z'
'x+1/2,-y+1/2,z'
loop_
_atom_site_label
_atom_site_fract_x
_atom_site_fract_y
_atom_site_fract_z
Ho1 0.000 0.000 0.000
Ho2 0.088 0.500 0.444
Ho3 0.208 0.500 0.882
Ho4 0.243 0.500 0.279
Th1 0.000 0.500 0.000
Sc1 0.054 0.000 0.700
Sc2 0.168 0.000 0.349
# Fermi-level density of states in states/eV/cell: 38.73

---

Taking the records one at a time from the top gives DFT formation energy values of 0.04 0.15 0.07 0.28 eV/atom.